Entry 1:
Below is an optimized crystal structure of Nd2TaSbN5, with properties calculated at the PBE-GGA level.

The structure belongs to space group Cmc2_1 (No. 36); the cell edges are 3.345, 14.245 and 10.705 Å and the angles 90.00°, 90.00° and 90.00°. The asymmetric unit holds Nd at (0.000, 0.125, 0.000), Nd at (0.000, 0.140, 0.555), Ta at (0.000, 0.229, 0.286), Sb at (0.000, 0.488, 0.752), N at (0.000, 0.067, 0.330), N at (0.000, 0.283, 0.917), N at (0.000, 0.298, 0.656), N at (0.000, 0.368, 0.290) and N at (0.000, 0.498, 0.065).

The energy relative to the elements, uncorrected is -6.7 eV per formula unit. The spin magnetization is 0.00 μB/f.u.

=====

Entry 2:
Below is an optimized crystal structure of PmSnClO2, with properties calculated at the PBE-GGA level.

The structure belongs to space group P2_1/m (No. 11); the cell edges are 6.795, 3.970 and 8.268 Å and the angles 90.00°, 107.56° and 90.00°. The asymmetric unit holds Pm at (0.169, 0.250, 0.410), Sn at (0.178, 0.250, 0.929), Cl at (0.445, 0.750, 0.316), O at (0.001, 0.250, 0.118) and O at (0.012, 0.250, 0.627).

The energy relative to the elements, uncorrected is -11.6 eV per formula unit. The spin magnetization is 0.00 μB/f.u.

=====

Entry 3:
Below is an optimized crystal structure of Nd3Mg2Al7, with properties calculated at the PBE-GGA level.

The structure belongs to space group R-3m (No. 166, hexagonal axes); the cell edges are 5.7168, 5.7168 and 27.2822 Å and the angles 90.00°, 90.00° and 120.00°. The asymmetric unit holds Nd at (0.0000, 0.0000, 0.0000), Nd at (0.0000, 0.0000, 0.1411), Mg at (0.0000, 0.0000, 0.3347), Al at (0.0000, 0.0000, 0.5000) and Al at (0.0053, 0.5026, 0.9142).

As for the formation energy: -0.371 eV/atom. The spin magnetization is 0.00 μB/f.u.

=====

Entry 4:
Below is an optimized crystal structure of YOsRu2, with properties calculated at the PBE-GGA level.

The structure belongs to space group Cm (No. 8); the cell edges are 9.584, 2.943 and 4.960 Å and the angles 90.00°, 104.01° and 90.00°. The asymmetric unit holds Y at (0.000, 0.000, 0.000), Os at (0.231, 0.000, 0.667), Ru at (0.267, 0.500, 0.261) and Ru at (0.499, 0.000, 0.512).

For the energy relative to the lowest polymorph listed for this composition, the calculation gives 22 meV/atom. As for the formation energy: 0.183 eV/atom. The spin magnetization is 0.00 μB/f.u.